# PBEsol GaFeTe3, optimized geometry
# total energy = -0.2661 Ry/atom
data_GaFeTe3
_chemical_formula_sum 'Ga1 Fe1 Te3'
_cell_length_a 5.238
_cell_length_b 5.238
_cell_length_c 5.238
_cell_angle_alpha 90.00
_cell_angle_beta 90.00
_cell_angle_gamma 90.00
_symmetry_space_group_name_H-M 'P m -3 m'
_symmetry_Int_Tables_number 221
_symmetry_space_group_name_Hall '-P 4 2 3'
loop_
_atom_site_label
_atom_site_type_symbol
_atom_site_fract_x
_atom_site_fract_y
_atom_site_fract_z
Ga1 Ga 0.000 0.000 0.000
Fe1 Fe 0.500 0.500 0.500
Te1 Te 0.000 0.000 0.500